# Rb2InBrCl6

A relaxed Rb2InBrCl6 crystal (PBE, Alexandria via LeMat-Bulk).

Output
The total magnetization comes out at 1.935 Bohr magnetons per cell. As for the formation energy (no corrections): -1.098 eV per atom. Its total energy is -28.41 eV/cell. Its space group is I4/mmm, No. 139. Its density of states at the Fermi level is 0.24 states/eV per atom.

a = 7.6075 Å, b = 7.6075 Å, c = 7.9280 Å
α = 61.33°, β = 61.33°, γ = 90.00°
Fractional positions:
Br 0.5000 0.5000 0.0000
Cl 0.7612 0.2388 0.0000
Cl 0.7612 0.7612 0.0000
Cl 0.2388 0.2388 0.0000
Cl 0.2388 0.7612 0.0000
Cl 0.7855 0.7855 0.4290
Cl 0.2145 0.2145 0.5710
In 0.0000 0.0000 0.0000
Rb 0.7500 0.2500 0.5000
Rb 0.2500 0.7500 0.5000